Computed, not measured: a relaxed SbMoP2 crystal at the GGA-PBE level of DFT.

Lattice parameters (Å, degrees): 3.362 4.098 5.041 90.00 90.00 90.00
Sites, in units of the cell vectors:
P1 0.000 0.000 0.000
P2 0.500 0.000 0.500
Mo1 0.000 0.500 0.500
Sb1 0.500 0.500 0.000

Output
Energy relative to the elements, uncorrected ... 0.61 eV per atom
Theoretical density ... 6.69 g/cm3
Space group ... Pmmm, No. 47
Magnetic moment ... 0.00 μB/f.u.
Volume ... 69.5 Å³ per cell
DOS(E_F) ... 0.86 states/eV/atom